Compound: Ti6NiPd12
Source: Alexandria via LeMat-Bulk
Functional: GGA-PBE
Structure: relaxed

abc: 6.6798 6.6798 6.6798
angles: 89.58 89.58 89.58
Positions (direct):
Ti (0.7123, 0.8807, 0.2587)
Ti (0.7413, 0.2877, 0.1193)
Ti (0.1193, 0.7413, 0.2877)
Ti (0.2877, 0.1193, 0.7413)
Ti (0.2587, 0.7123, 0.8807)
Ti (0.8807, 0.2587, 0.7123)
Ni (0.0000, 0.0000, 0.0000)
Pd (0.7981, 0.5378, 0.4355)
Pd (0.4355, 0.7981, 0.5378)
Pd (0.5378, 0.4355, 0.7981)
Pd (0.2019, 0.4622, 0.5645)
Pd (0.5645, 0.2019, 0.4622)
Pd (0.4622, 0.5645, 0.2019)
Pd (0.0203, 0.1460, 0.3594)
Pd (0.8540, 0.6406, 0.9797)
Pd (0.6406, 0.9797, 0.8540)
Pd (0.9797, 0.8540, 0.6406)
Pd (0.1460, 0.3594, 0.0203)
Pd (0.3594, 0.0203, 0.1460)

total magnetization: 0.01 μB/f.u.
uncorrected energy: -124.413 eV per cell
formation enthalpy at 0 K: -8.948 eV/f.u.
calculated volume: 298.0 Å³ per cell
space group: R-3, No. 148

Compound: MnBe2Al2
Source: Alexandria via LeMat-Bulk
Functional: GGA-PBE
Structure: relaxed

abc: 6.3381 6.3381 2.8749
angles: 90.00 90.00 90.00
Each line ends with the local moment (μB).
Positions (direct):
Be (0.3825, 0.8825, 0.0000)  0.01
Be (0.8825, 0.6175, 0.0000)  0.01
Be (0.6175, 0.1175, 0.0000)  0.01
Be (0.1175, 0.3825, 0.0000)  0.01
Mn (0.0000, 0.0000, 0.0000)  1.91
Mn (0.5000, 0.5000, 0.0000)  1.91
Al (0.1781, 0.6781, 0.5000)  -0.04
Al (0.6781, 0.8219, 0.5000)  -0.04
Al (0.8219, 0.3219, 0.5000)  -0.04
Al (0.3219, 0.1781, 0.5000)  -0.04

total magnetization: 1.83 μB/f.u.
uncorrected energy: -47.458 eV per cell
formation enthalpy at 0 K: 0.378 eV/f.u.
calculated volume: 115.5 Å³ per cell
space group: P4/mbm, No. 127

Compound: CsCuBi2
Source: Alexandria via LeMat-Bulk
Functional: GGA-PBE
Structure: relaxed

abc: 4.5035 4.5035 8.6065
angles: 74.83 74.83 60.00
Positions (direct):
Cs (0.5000, 0.5000, 0.5000)
Bi (0.7108, 0.7108, 0.8676)
Bi (0.2892, 0.2892, 0.1324)
Cu (0.0000, 0.0000, 0.0000)

total magnetization: 0.00 μB/f.u.
uncorrected energy: -12.715 eV per cell
excess energy over the best structure of this formula in the dataset: 0 meV/atom
formation enthalpy at 0 K: -0.004 eV/f.u.
calculated volume: 144.1 Å³ per cell
space group: R-3m, No. 166

Compound: BMo2PdC
Source: Alexandria via LeMat-Bulk
Functional: GGA-PBE
Structure: relaxed

abc: 4.0805 3.9701 4.0805
angles: 90.00 90.00 90.00
Positions (direct):
Mo (0.0000, 0.0000, 0.5000)
Mo (0.5000, 0.0000, 0.0000)
B (0.5000, 0.5000, 0.5000)
C (0.0000, 0.0000, 0.0000)
Pd (0.0000, 0.5000, 0.0000)

total magnetization: 0.00 μB/f.u.
uncorrected energy: -39.071 eV per cell
formation enthalpy at 0 K: 3.686 eV/f.u.
calculated volume: 66.1 Å³ per cell
space group: P4/mmm, No. 123

Compound: Cr2MoRh
Source: Alexandria via LeMat-Bulk
Functional: GGA-PBE
Structure: relaxed

abc: 4.6368 4.6368 4.6504
angles: 81.32 81.32 33.23
Positions (direct):
Cr (0.9955, 0.9955, 0.9972)
Cr (0.7434, 0.7434, 0.7647)
Mo (0.5050, 0.5050, 0.5011)
Rh (0.2562, 0.2562, 0.2370)

total magnetization: 0.00 μB/f.u.
uncorrected energy: -36.772 eV per cell
formation enthalpy at 0 K: 0.657 eV/f.u.
calculated volume: 54.1 Å³ per cell
space group: Cm, No. 8

Compound: NbTl3Te6Pd2
Source: Alexandria via LeMat-Bulk
Functional: GGA-PBE
Structure: relaxed

abc: 7.2524 7.2524 8.0193
angles: 98.56 98.56 120.11
Each line ends with the local moment (μB).
Positions (direct):
Nb (0.0000, 0.0000, 0.0000)  0.97
Tl (0.1613, 0.8387, 0.5000)  0.00
Tl (0.8387, 0.1613, 0.5000)  0.00
Tl (0.5000, 0.5000, 0.5000)  0.00
Te (0.9380, 0.5987, 0.8117)  0.00
Te (0.7234, 0.7234, 0.1861)  -0.01
Te (0.0620, 0.4013, 0.1883)  0.00
Te (0.5987, 0.9380, 0.8117)  0.00
Te (0.2766, 0.2766, 0.8139)  -0.01
Te (0.4013, 0.0620, 0.1883)  0.00
Pd (0.3337, 0.6663, 0.0000)  0.05
Pd (0.6663, 0.3337, 0.0000)  0.05

total magnetization: 1.28 μB/f.u.
uncorrected energy: -49.279 eV per cell
calculated volume: 348.3 Å³ per cell
space group: C2/m, No. 12
formation energy (no corrections): -0.240 eV/atom